[1]
8
Lattice="-2.492 2.829 3.657 2.492 -2.829 3.657 2.492 2.829 -3.657" Properties=species:S:1:pos:R:3 comment="GGA-PBE SrCu2RhO4, relaxed" e_tot_ev_per_cell=-44.68 formation_energy_uncorrected_ev_per_fu=-7.62 spacegroup="I222, No. 23" pbc="T T T"
Sr 0.000 0.000 0.000
Cu 2.492 0.000 2.125
Cu 0.000 2.829 1.533
Rh 0.000 0.000 3.657
O 1.594 1.694 -1.415
O 3.390 1.694 1.415
O 0.898 1.135 2.243
O -0.898 1.135 5.072

[2]
18
Lattice="1.664 -7.405 0.000 1.664 7.405 0.000 0.000 0.000 9.770" Properties=species:S:1:pos:R:3 comment="GGA-PBE Sr2CuRhO5, relaxed" e_tot_ev_per_cell=-108.38 formation_energy_uncorrected_ev_per_fu=-14.59 spacegroup="Cmc2_1, No. 36" pbc="T T T"
Sr 1.664 5.593 4.885
Sr 1.664 5.531 1.018
Sr 1.664 -5.531 5.903
Sr 1.664 -5.593 0.000
Cu 1.664 0.574 2.626
Cu 1.664 -0.574 7.511
Rh 1.664 4.252 7.897
Rh 1.664 -4.252 3.012
O 1.664 6.271 8.116
O 1.664 3.153 4.289
O 1.664 3.071 1.744
O 1.664 2.235 7.866
O 1.664 0.053 0.835
O 1.664 -0.053 5.720
O 1.664 -2.235 2.981
O 1.664 -3.071 6.629
O 1.664 -3.153 9.174
O 1.664 -6.271 3.231

[3]
11
Lattice="2.910 1.680 5.198 -2.910 1.680 5.198 0.000 -3.360 5.198" Properties=species:S:1:pos:R:3 comment="GGA-PBE Sr2Cu2RhO6, relaxed" e_tot_ev_per_cell=-63.60 formation_energy_uncorrected_ev_per_fu=-14.94 spacegroup="R-3m, No. 166" pbc="T T T"
Sr 0.000 0.000 3.345
Sr 0.000 0.000 12.248
Cu 0.000 0.000 6.419
Cu 0.000 0.000 9.175
Rh 0.000 0.000 0.000
O -1.588 -0.917 9.091
O 0.000 -1.834 6.503
O -1.588 0.917 6.503
O 1.588 -0.917 9.091
O 0.000 1.834 9.091
O 1.588 0.917 6.503

[4]
10
Lattice="2.602 1.502 4.700 -2.602 1.502 4.700 0.000 -3.005 4.700" Properties=species:S:1:pos:R:3 comment="GGA-PBE TaCu2RhO6, relaxed" e_tot_ev_per_cell=-69.91 formation_energy_uncorrected_ev_per_fu=-12.77 spacegroup="R3, No. 146" pbc="T T T"
Ta 0.000 0.000 0.000
Cu 0.000 0.000 3.409
Cu 0.000 0.000 11.216
Rh 0.000 0.000 6.870
O -1.671 0.127 5.672
O -1.031 -1.374 7.966
O 0.726 -1.510 5.672
O -0.674 1.579 7.966
O 0.945 1.383 5.672
O 1.705 -0.206 7.966

Q: Which formula does entry 1 have?
A: SrCu2RhO4

Please write out number 2 again, unchanged.
18
Lattice="1.664 -7.405 0.000 1.664 7.405 0.000 0.000 0.000 9.770" Properties=species:S:1:pos:R:3 comment="GGA-PBE Sr2CuRhO5, relaxed" e_tot_ev_per_cell=-108.38 formation_energy_uncorrected_ev_per_fu=-14.59 spacegroup="Cmc2_1, No. 36" pbc="T T T"
Sr 1.664 5.593 4.885
Sr 1.664 5.531 1.018
Sr 1.664 -5.531 5.903
Sr 1.664 -5.593 0.000
Cu 1.664 0.574 2.626
Cu 1.664 -0.574 7.511
Rh 1.664 4.252 7.897
Rh 1.664 -4.252 3.012
O 1.664 6.271 8.116
O 1.664 3.153 4.289
O 1.664 3.071 1.744
O 1.664 2.235 7.866
O 1.664 0.053 0.835
O 1.664 -0.053 5.720
O 1.664 -2.235 2.981
O 1.664 -3.071 6.629
O 1.664 -3.153 9.174
O 1.664 -6.271 3.231

Q: What is the formula in the third record?
A: Sr2Cu2RhO6